(1)
This record from Alexandria via LeMat-Bulk describes an optimized crystal structure of AlCuSi2S. The functional is GGA-PBE.

Summary:
Uncorrected energy (eV per atom): -3.859
Formation energy (no corrections) (kJ/mol of atoms): 68
M_tot (μB per atom): 0.000

abc: 4.793 4.168 4.793
angles: 90.00 90.00 90.00
Sites, in units of the cell vectors:
S 0.000 0.000 0.000
Si 0.000 0.000 0.500
Si 0.500 0.000 0.000
Cu 0.000 0.500 0.000
Al 0.500 0.500 0.500


(2)
This record from Alexandria via LeMat-Bulk describes an optimized crystal structure of Sm2AlCuS5. The functional is GGA-PBE.

Summary:
Uncorrected energy (eV per atom): -5.689
Formation energy (no corrections) (kJ/mol of atoms): -142
M_tot (μB per atom): 0.000

abc: 3.877 8.886 10.909
angles: 90.00 90.00 102.60
Sites, in units of the cell vectors:
Sm 0.882 0.764 0.795
Sm 0.108 0.216 0.675
Sm 0.118 0.236 0.295
Sm 0.892 0.784 0.175
Al 0.594 0.188 0.967
Al 0.406 0.812 0.467
Cu 0.749 0.497 0.605
Cu 0.251 0.503 0.105
S 0.358 0.716 0.989
S 0.690 0.380 0.821
S 0.507 0.014 0.790
S 0.314 0.627 0.634
S 0.959 0.918 0.550
S 0.642 0.284 0.489
S 0.310 0.620 0.321
S 0.493 0.986 0.290
S 0.686 0.373 0.134
S 0.041 0.082 0.050


(3)
This record from Alexandria via LeMat-Bulk describes an optimized crystal structure of SmAlCu2S4. The functional is GGA-PBE.

Summary:
Uncorrected energy (eV per atom): -5.138
Formation energy (no corrections) (kJ/mol of atoms): -96
M_tot (μB per atom): 0.000

abc: 6.351 5.849 5.849
angles: 67.58 57.12 57.12
Sites, in units of the cell vectors:
Sm 0.000 0.000 0.000
Al 0.500 0.500 0.500
Cu 0.183 0.317 0.317
Cu 0.817 0.683 0.683
S 0.469 0.125 0.523
S 0.117 0.875 0.477
S 0.883 0.523 0.125
S 0.531 0.477 0.875


(4)
This record from Alexandria via LeMat-Bulk describes an optimized crystal structure of AlCuSn2S. The functional is GGA-PBE.

Summary:
Uncorrected energy (eV per atom): -3.689
Formation energy (no corrections) (kJ/mol of atoms): 29
M_tot (μB per atom): 0.000

abc: 5.565 4.116 5.565
angles: 90.00 90.00 90.00
Sites, in units of the cell vectors:
S 0.000 0.000 0.000
Sn 0.000 0.000 0.500
Sn 0.500 0.000 0.000
Cu 0.000 0.500 0.000
Al 0.500 0.500 0.500


(5)
This record from Alexandria via LeMat-Bulk describes an optimized crystal structure of SrAlCuS3. The functional is GGA-PBE.

Summary:
Uncorrected energy (eV per atom): -4.698
Formation energy (no corrections) (kJ/mol of atoms): -101
M_tot (μB per atom): 0.000

abc: 6.414 6.414 7.650
angles: 71.59 71.59 70.91
Sites, in units of the cell vectors:
Sr 0.699 0.699 0.825
Sr 0.301 0.301 0.175
Al 0.071 0.071 0.713
Al 0.929 0.929 0.287
Cu 0.290 0.710 0.500
Cu 0.710 0.290 0.500
S 0.293 0.293 0.558
S 0.188 0.701 0.812
S 0.701 0.188 0.812
S 0.299 0.812 0.188
S 0.812 0.299 0.188
S 0.707 0.707 0.442


(6)
This record from Alexandria via LeMat-Bulk describes an optimized crystal structure of Tb2AlCuS5. The functional is GGA-PBE.

Summary:
Uncorrected energy (eV per atom): -5.662
Formation energy (no corrections) (kJ/mol of atoms): -142
M_tot (μB per atom): 0.000

abc: 3.802 8.976 10.757
angles: 90.00 90.00 102.23
Sites, in units of the cell vectors:
Tb 0.885 0.770 0.793
Tb 0.105 0.210 0.673
Tb 0.115 0.230 0.293
Tb 0.895 0.790 0.173
Al 0.593 0.186 0.967
Al 0.407 0.814 0.467
Cu 0.747 0.494 0.610
Cu 0.253 0.506 0.110
S 0.358 0.715 0.987
S 0.686 0.372 0.818
S 0.506 0.013 0.788
S 0.316 0.632 0.636
S 0.961 0.921 0.552
S 0.642 0.285 0.487
S 0.314 0.628 0.318
S 0.494 0.987 0.288
S 0.684 0.368 0.136
S 0.039 0.079 0.052